(1)
## Rb3H8Ru (PBE)

Data for a relaxed Rb3H8Ru crystal. Values from VASP.

Output
SG ... No. 121
D(E_F) ... 0.35 states/eV per atom
Uncorrected energy ... -40.463 eV/cell
Spin magnetization ... 0.00 μB per atom
Volume ... 181.8 Å³/cell

```
&SYSTEM
  ibrav = 0, nat = 12, ntyp = 3
/
ATOMIC_SPECIES
Rb 85.47 Rb.upf
H 1.01 H.upf
Ru 101.07 Ru.upf
ATOMIC_POSITIONS crystal
Rb 0.0000 0.0000 0.0000
Rb 0.2500 0.7500 0.5000
Rb 0.7500 0.2500 0.5000
H 0.2336 0.4404 0.0000
H 0.2721 0.2721 0.6443
H 0.3723 0.7279 0.0000
H 0.4404 0.2336 0.0000
H 0.5596 0.5596 0.7933
H 0.6277 0.6277 0.3557
H 0.7279 0.3723 0.0000
H 0.7664 0.7664 0.2067
Ru 0.5000 0.5000 0.0000
CELL_PARAMETERS angstrom
-3.3047 3.3047 4.1608
3.3047 -3.3047 4.1608
3.3047 3.3047 -4.1608
```



(2)
## AlCoPt2 (PBE)

Data for a relaxed AlCoPt2 crystal. Values from VASP.

Output
SG ... No. 44
D(E_F) ... 1.26 states/eV per atom
Uncorrected energy ... -24.735 eV/cell
Spin magnetization ... 0.43 μB per atom
Volume ... 56.2 Å³/cell

```
&SYSTEM
  ibrav = 0, nat = 4, ntyp = 3
/
ATOMIC_SPECIES
Al 26.98 Al.upf
Co 58.93 Co.upf
Pt 195.08 Pt.upf
ATOMIC_POSITIONS crystal
Al 0.0000 0.0000 0.0000
Co 0.2236 0.7236 0.5000
Pt 0.4831 0.4831 0.0000
Pt 0.7658 0.2658 0.5000
CELL_PARAMETERS angstrom
-1.4159 2.1907 4.5285
1.4159 -2.1907 4.5285
1.4159 2.1907 -4.5285
```



(3)
## VCd2C (PBE)

Data for a relaxed VCd2C crystal. Values from VASP.

Output
SG ... No. 122
D(E_F) ... 0.90 states/eV per atom
Uncorrected energy ... -33.972 eV/cell
Spin magnetization ... 0.50 μB per atom
Volume ... 144.5 Å³/cell

```
&SYSTEM
  ibrav = 0, nat = 8, ntyp = 3
/
ATOMIC_SPECIES
V 50.94 V.upf
Cd 112.41 Cd.upf
C 12.01 C.upf
ATOMIC_POSITIONS crystal
V 0.0000 0.0000 0.0000
V 0.7500 0.2500 0.5000
Cd 0.2437 0.6250 0.1187
Cd 0.3750 0.4937 0.6187
Cd 0.5063 0.1250 0.8813
Cd 0.8750 0.7563 0.3813
C 0.2500 0.7500 0.5000
C 0.5000 0.5000 0.0000
CELL_PARAMETERS angstrom
-4.2146 4.2146 2.0339
4.2146 -4.2146 2.0339
4.2146 4.2146 -2.0339
```



(4)
## Pm5BiRu (PBE)

Data for a relaxed Pm5BiRu crystal. Values from VASP.

Output
SG ... No. 15
D(E_F) ... 0.95 states/eV per atom
Uncorrected energy ... -76.941 eV/cell
Spin magnetization ... 0.00 μB per atom
Volume ... 437.6 Å³/cell

```
&SYSTEM
  ibrav = 0, nat = 14, ntyp = 3
/
ATOMIC_SPECIES
Pm 145.00 Pm.upf
Bi 208.98 Bi.upf
Ru 101.07 Ru.upf
ATOMIC_POSITIONS crystal
Pm 0.0223 0.4074 0.6393
Pm 0.0273 0.9727 0.7500
Pm 0.2113 0.5482 0.9610
Pm 0.4074 0.0223 0.1393
Pm 0.4518 0.7887 0.5390
Pm 0.5482 0.2113 0.4610
Pm 0.5926 0.9777 0.8607
Pm 0.7887 0.4518 0.0390
Pm 0.9727 0.0273 0.2500
Pm 0.9777 0.5926 0.3607
Bi 0.4695 0.5305 0.2500
Bi 0.5305 0.4695 0.7500
Ru 0.0000 0.0000 0.0000
Ru 0.0000 0.0000 0.5000
CELL_PARAMETERS angstrom
5.5516 -3.5174 0.0000
5.5516 3.5174 0.0000
-3.4352 0.0000 11.2041
```



(5)
## YLuTe3 (PBE)

Data for a relaxed YLuTe3 crystal. Values from VASP.

Output
SG ... No. 62
D(E_F) ... 0.00 states/eV per atom
Uncorrected energy ... -108.360 eV/cell
Spin magnetization ... 0.00 μB per atom
Raw formation energy ... -1.34 eV per atom
Distance to the lowest polymorph of the same formula ... 0.0550 eV per atom
Volume ... 643.3 Å³/cell

```
&SYSTEM
  ibrav = 0, nat = 20, ntyp = 3
/
ATOMIC_SPECIES
Y 88.91 Y.upf
Lu 174.97 Lu.upf
Te 127.60 Te.upf
ATOMIC_POSITIONS crystal
Y 0.1202 0.2500 0.0514
Y 0.3798 0.7500 0.5514
Y 0.6202 0.2500 0.4486
Y 0.8798 0.7500 0.9486
Lu 0.0000 0.0000 0.5000
Lu 0.0000 0.5000 0.5000
Lu 0.5000 0.0000 0.0000
Lu 0.5000 0.5000 0.0000
Te 0.0487 0.7500 0.3376
Te 0.1753 0.5783 0.8360
Te 0.1753 0.9217 0.8360
Te 0.3247 0.0783 0.3360
Te 0.3247 0.4217 0.3360
Te 0.4513 0.2500 0.8376
Te 0.5487 0.7500 0.1624
Te 0.6753 0.5783 0.6640
Te 0.6753 0.9217 0.6640
Te 0.8247 0.0783 0.1640
Te 0.8247 0.4217 0.1640
Te 0.9513 0.2500 0.6624
CELL_PARAMETERS angstrom
7.9994 0.0000 0.0000
0.0000 11.0238 0.0000
0.0000 0.0000 7.2947
```



(6)
## ReTe2Rh (PBE)

Data for a relaxed ReTe2Rh crystal. Values from VASP.

Output
SG ... No. 8
D(E_F) ... 0.85 states/eV per atom
Uncorrected energy ... -24.674 eV/cell
Spin magnetization ... 0.00 μB per atom
Raw formation energy ... 0.35 eV per atom
Distance to the lowest polymorph of the same formula ... 0.1742 eV per atom
Volume ... 91.2 Å³/cell

```
&SYSTEM
  ibrav = 0, nat = 4, ntyp = 3
/
ATOMIC_SPECIES
Re 186.21 Re.upf
Te 127.60 Te.upf
Rh 102.91 Rh.upf
ATOMIC_POSITIONS crystal
Re 0.0000 0.0000 0.0000
Te 0.5185 0.5185 0.6505
Te 0.7296 0.7296 0.1501
Rh 0.2497 0.2497 0.7685
CELL_PARAMETERS angstrom
4.3909 -1.6566 0.0000
4.3909 1.6566 0.0000
-0.8981 0.0000 6.2676
```



- volume of number 5 (YLuTe3)?
  643.3 Å³/cell



Please write out number 1 again, unchanged.
## Rb3H8Ru (PBE)

Data for a relaxed Rb3H8Ru crystal. Values from VASP.

Output
SG ... No. 121
D(E_F) ... 0.35 states/eV per atom
Uncorrected energy ... -40.463 eV/cell
Spin magnetization ... 0.00 μB per atom
Volume ... 181.8 Å³/cell

```
&SYSTEM
  ibrav = 0, nat = 12, ntyp = 3
/
ATOMIC_SPECIES
Rb 85.47 Rb.upf
H 1.01 H.upf
Ru 101.07 Ru.upf
ATOMIC_POSITIONS crystal
Rb 0.0000 0.0000 0.0000
Rb 0.2500 0.7500 0.5000
Rb 0.7500 0.2500 0.5000
H 0.2336 0.4404 0.0000
H 0.2721 0.2721 0.6443
H 0.3723 0.7279 0.0000
H 0.4404 0.2336 0.0000
H 0.5596 0.5596 0.7933
H 0.6277 0.6277 0.3557
H 0.7279 0.3723 0.0000
H 0.7664 0.7664 0.2067
Ru 0.5000 0.5000 0.0000
CELL_PARAMETERS angstrom
-3.3047 3.3047 4.1608
3.3047 -3.3047 4.1608
3.3047 3.3047 -4.1608
```



- Which of these has the highest spin magnetization?
  VCd2C



- Which value of volume does entry 3 give?
  144.5 Å³/cell